No. 1
A relaxed structure of KMgZn2, computed with PBE.

Cell: 5.147 5.147 5.147 Å, 60.00 60.00 60.00°
Fractional positions:
K1 0.000 0.000 0.000
Mg1 0.250 0.250 0.250
Zn1 0.500 0.500 0.500
Zn2 0.750 0.750 0.750

Results
Energy relative to the elements = 280 meV/atom
Space-group type = No. 216

=====

No. 2
A relaxed structure of KMgZn17, computed with PBE.

Cell: 6.876 6.876 6.876 Å, 83.30 83.30 83.30°
Fractional positions:
K1 0.000 0.000 0.000
Mg1 0.682 0.682 0.682
Zn1 0.042 0.348 0.639
Zn2 0.042 0.639 0.348
Zn3 0.201 0.689 0.689
Zn4 0.248 0.248 0.248
Zn5 0.335 0.335 0.850
Zn6 0.335 0.850 0.335
Zn7 0.348 0.042 0.639
Zn8 0.348 0.639 0.042
Zn9 0.451 0.451 0.451
Zn10 0.508 0.988 0.988
Zn11 0.639 0.042 0.348
Zn12 0.639 0.348 0.042
Zn13 0.689 0.201 0.689
Zn14 0.689 0.689 0.201
Zn15 0.850 0.335 0.335
Zn16 0.988 0.508 0.988
Zn17 0.988 0.988 0.508

Results
Energy relative to the elements = 3 meV/atom
Space-group type = No. 160

=====

No. 3
A relaxed structure of K2MgZn2, computed with PBE.

Cell: 12.287 12.287 12.287 Å, 162.56 162.56 24.76°
Fractional positions:
K1 0.121 0.121 0.000
K2 0.879 0.879 0.000
Mg1 0.500 0.500 0.000
Zn1 0.250 0.750 0.500
Zn2 0.750 0.250 0.500

Results
Energy relative to the elements = 186 meV/atom
Space-group type = No. 139

=====

| no. | E (eV per atom) |
| --- | --- |
| 1 | -1.03 |
| 2 | -1.28 |
| 3 | -1.08 |